(1)
10
Lattice="2.933 1.693 6.428 -2.933 1.693 6.428 0.000 -3.387 6.428" Properties=species:S:1:pos:R:3 comment="MnNb3Mo (PBE, relaxed)" n_ef_per_ev_atom=1.20 e_above_lowest_polymorph_mev_per_atom=0 energy_ev_per_atom=-9.40 spacegroup="R-3m, No. 166" delta_e_f_ev_per_atom=0.65 pbc="T T T"
Mn 0.000 0.000 3.194
Mn 0.000 0.000 16.090
Nb 0.000 -1.699 5.056
Nb -1.471 0.849 5.056
Nb -1.471 -0.849 14.228
Nb 1.471 0.849 5.056
Nb 1.471 -0.849 14.228
Nb 0.000 1.699 14.228
Mo 0.000 0.000 7.081
Mo 0.000 0.000 12.203

(2)
10
Lattice="7.122 0.000 0.000 0.000 7.122 0.000 0.000 0.000 2.874" Properties=species:S:1:pos:R:3 comment="Mn2NbMo2 (PBE, relaxed)" n_ef_per_ev_atom=1.29 energy_ev_per_atom=-9.80 spacegroup="P4/mbm, No. 127" delta_e_f_ev_per_atom=0.21 pbc="T T T"
Mn 0.984 2.577 0.000
Mn 2.577 6.139 0.000
Mn 4.545 0.984 0.000
Mn 6.139 4.545 0.000
Nb 0.000 0.000 0.000
Nb 3.561 3.561 0.000
Mo 1.140 4.701 1.437
Mo 2.421 1.140 1.437
Mo 4.701 5.983 1.437
Mo 5.983 2.421 1.437

(3)
4
Lattice="4.294 0.000 0.000 0.000 4.294 0.000 0.000 0.000 3.016" Properties=species:S:1:pos:R:3 comment="Mn2NbMo (PBE, relaxed)" n_ef_per_ev_atom=0.84 e_above_lowest_polymorph_mev_per_atom=0 energy_ev_per_atom=-9.78 spacegroup="P4/mmm, No. 123" delta_e_f_ev_per_atom=0.03 pbc="T T T"
Mn 0.000 2.147 0.000
Mn 2.147 0.000 0.000
Nb 0.000 0.000 1.508
Mo 2.147 2.147 1.508

What did the second record say?
10
Lattice="7.122 0.000 0.000 0.000 7.122 0.000 0.000 0.000 2.874" Properties=species:S:1:pos:R:3 comment="Mn2NbMo2 (PBE, relaxed)" n_ef_per_ev_atom=1.29 energy_ev_per_atom=-9.80 spacegroup="P4/mbm, No. 127" delta_e_f_ev_per_atom=0.21 pbc="T T T"
Mn 0.984 2.577 0.000
Mn 2.577 6.139 0.000
Mn 4.545 0.984 0.000
Mn 6.139 4.545 0.000
Nb 0.000 0.000 0.000
Nb 3.561 3.561 0.000
Mo 1.140 4.701 1.437
Mo 2.421 1.140 1.437
Mo 4.701 5.983 1.437
Mo 5.983 2.421 1.437